## RbErVF6 (GGA+U)

Data for crystalline RbErVF6 at its relaxed geometry.

Output
Spin magnetization: 0.333 μB per atom
Uncorrected energy: -6.03 eV/atom
Crystal system: orthorhombic

Unit cell a=8.128 b=7.770 c=7.932 alpha=119.33 beta=120.82 gamma=90.00
Fractional positions:
Rb 0.812 0.562 0.624
Rb 0.188 0.438 0.376
Er 0.500 0.000 0.500
Er 0.000 0.000 0.500
V 0.500 0.500 0.000
V 0.500 0.000 0.000
F 0.434 0.684 0.867
F 0.822 0.072 0.644
F 0.817 0.086 0.261
F 0.444 0.675 0.261
F 0.444 0.086 0.261
F 0.817 0.675 0.261
F 0.566 0.316 0.133
F 0.178 0.928 0.356
F 0.183 0.914 0.739
F 0.556 0.325 0.739
F 0.556 0.914 0.739
F 0.183 0.325 0.739